# 1
## LuScRh2 (SCAN)

Data for a PBEsol-optimized structure of LuScRh2.

Cell lengths 4.584, 4.584, 4.584 Å; angles 60.00, 60.00, 60.00 degrees
Positions (direct):
Rh1 0.250 0.250 0.250
Rh2 0.750 0.750 0.750
Lu1 0.500 0.500 0.500
Sc1 0.000 0.000 0.000

## Properties
Space group   Fm-3m
Formation energy   -1.16 eV/atom

# 2
## LuSiRh (SCAN)

Data for a PBEsol-optimized structure of LuSiRh.

Cell lengths 4.141, 6.665, 7.256 Å; angles 90.00, 90.00, 90.00 degrees
Positions (direct):
Rh1 0.250 0.655 0.934
Rh2 0.750 0.845 0.434
Rh3 0.750 0.345 0.066
Rh4 0.250 0.155 0.566
Si1 0.250 0.292 0.891
Si2 0.750 0.208 0.391
Si3 0.250 0.792 0.609
Si4 0.750 0.708 0.109
Lu1 0.750 0.998 0.810
Lu2 0.250 0.502 0.310
Lu3 0.250 0.002 0.190
Lu4 0.750 0.498 0.690

## Properties
Space group   Pnma
Energy relative to the elements, uncorrected   -116.6 kJ per mole of atoms

# 3
## LuSnRh (SCAN)

Data for a PBEsol-optimized structure of LuSnRh.

Cell lengths 3.620, 7.475, 7.475 Å; angles 120.00, 90.00, 90.00 degrees
Positions (direct):
Sn1 0.500 0.000 0.267
Sn2 0.500 0.267 0.000
Sn3 0.500 0.733 0.733
Lu1 0.000 0.401 0.401
Lu2 0.000 0.000 0.599
Lu3 0.000 0.599 0.000
Rh1 0.500 0.667 0.333
Rh2 0.000 0.000 0.000
Rh3 0.500 0.333 0.667

## Properties
Space group   P-62m
Formation energy   -1.02 eV/atom

# 4
## TbLuRh2 (SCAN)

Data for a PBEsol-optimized structure of TbLuRh2.

Cell lengths 4.726, 4.726, 4.726 Å; angles 60.00, 60.00, 60.00 degrees
Positions (direct):
Tb1 0.000 0.000 0.000
Lu1 0.500 0.500 0.500
Rh1 0.750 0.750 0.750
Rh2 0.250 0.250 0.250

## Properties
Space group   Fm-3m
Formation energy   -1.06 eV/atom

# 5
## TmLuRh2 (SCAN)

Data for a PBEsol-optimized structure of TmLuRh2.

Cell lengths 4.682, 4.682, 4.682 Å; angles 60.00, 60.00, 60.00 degrees
Positions (direct):
Lu1 0.500 0.500 0.500
Rh1 0.750 0.750 0.750
Rh2 0.250 0.250 0.250
Tm1 0.000 0.000 0.000

## Properties
Space group   Fm-3m
Formation energy   -1.11 eV/atom

# 6
## YLuRh2 (SCAN)

Data for a PBEsol-optimized structure of YLuRh2.

Cell lengths 4.721, 4.721, 4.721 Å; angles 60.00, 60.00, 60.00 degrees
Positions (direct):
Rh1 0.250 0.250 0.250
Rh2 0.750 0.750 0.750
Y1 0.000 0.000 0.000
Lu1 0.500 0.500 0.500

## Properties
Space group   Fm-3m
Formation energy   -1.06 eV/atom

Table of Fermi-level density of states (states/eV/cell), in record order: 1.01, 4.61, 5.44, 1.53, 1.25, 1.41